## Ce6SnHg2 (GGA-PBE)

Data for crystalline Ce6SnHg2 at its relaxed geometry.

The structure belongs to space group Immm (No. 71); the cell edges are 9.5367, 10.0928 and 10.5671 Å and the angles 90.00°, 90.00° and 90.00°. The asymmetric unit holds Ce at (0.0000, 0.1959, 0.2491), Ce at (0.2089, 0.0000, 0.2370), Ce at (0.2160, 0.2826, 0.0000), Sn at (0.0000, 0.0000, 0.0000), Sn at (0.0000, 0.0000, 0.5000), Hg at (0.0000, 0.3667, 0.5000) and Hg at (0.0000, 0.5000, 0.1390).

The raw total energy comes out at -4.675 eV/atom. The crystal system is orthorhombic. Its density of states at the Fermi level is 3.07 states/eV/atom.

***

## Ce3SnHg4 (GGA-PBE)

Data for crystalline Ce3SnHg4 at its relaxed geometry.

The structure belongs to space group Immm (No. 71); the cell edges are 3.5596, 9.9574 and 12.8319 Å and the angles 90.00°, 90.00° and 90.00°. The asymmetric unit holds Ce at (0.0000, 0.0000, 0.0000), Ce at (0.0000, 0.5000, 0.2102), Sn at (0.0000, 0.0000, 0.5000) and Hg at (0.0000, 0.2674, 0.3724).

The raw total energy comes out at -3.111 eV/atom. The crystal system is orthorhombic. Its density of states at the Fermi level is 2.46 states/eV/atom.

***

## Ce4SnHg3 (GGA-PBE)

Data for crystalline Ce4SnHg3 at its relaxed geometry.

The structure belongs to space group C2/m (No. 12); the cell edges are 14.9372, 5.4777 and 5.3635 Å and the angles 90.00°, 108.07° and 90.00°. The asymmetric unit holds Ce at (0.1237, 0.0000, 0.1046), Ce at (0.2402, 0.0000, 0.7891), Sn at (0.0000, 0.0000, 0.5000), Hg at (0.0000, 0.5000, 0.0000) and Hg at (0.1289, 0.5000, 0.6032).

The calculation puts the energy above the lowest structure with this stoichiometry at 170.6 meV/atom. The raw total energy comes out at -3.784 eV/atom. The crystal system is monoclinic. Its density of states at the Fermi level is 2.31 states/eV/atom.

***

## Ce6SnHg2 (GGA-PBE)

Data for crystalline Ce6SnHg2 at its relaxed geometry.

The structure belongs to space group P6/mmm (No. 191); the cell edges are 9.0844, 9.0844 and 3.1100 Å and the angles 90.00°, 90.00° and 120.00°. The asymmetric unit holds Ce at (0.0000, 0.3341, 0.0000), Sn at (0.0000, 0.0000, 0.5000) and Hg at (0.3333, 0.6667, 0.5000).

The raw total energy comes out at -4.674 eV/atom. The crystal system is hexagonal. Its density of states at the Fermi level is 2.81 states/eV/atom.

***

## Ce4SnHg3 (GGA-PBE)

Data for crystalline Ce4SnHg3 at its relaxed geometry.

The structure belongs to space group I4/mmm (No. 139); the cell edges are 4.8739, 4.8739 and 18.0829 Å and the angles 90.00°, 90.00° and 90.00°. The asymmetric unit holds Ce at (0.0000, 0.5000, 0.1253), Sn at (0.0000, 0.0000, 0.0000), Hg at (0.0000, 0.0000, 0.2501) and Hg at (0.0000, 0.0000, 0.5000).

The calculation puts the energy above the lowest structure with this stoichiometry at 0.0 meV/atom. The raw total energy comes out at -3.954 eV/atom. The crystal system is tetragonal. Its density of states at the Fermi level is 3.23 states/eV/atom.

***

## Ce5Sn4Hg (GGA-PBE)

Data for crystalline Ce5Sn4Hg at its relaxed geometry.

The structure belongs to space group P4/mmm (No. 123); the cell edges are 4.1463, 4.1463 and 16.0974 Å and the angles 90.00°, 90.00° and 90.00°. The asymmetric unit holds Ce at (0.0000, 0.0000, 0.0000), Ce at (0.0000, 0.0000, 0.2008), Ce at (0.0000, 0.0000, 0.3922), Sn at (0.5000, 0.5000, 0.1008), Sn at (0.5000, 0.5000, 0.2977) and Hg at (0.5000, 0.5000, 0.5000).

The raw total energy comes out at -5.138 eV/atom. The crystal system is tetragonal. Its density of states at the Fermi level is 2.77 states/eV/atom.

***

Values of mass density, in order: 8.9 9.8 10.2 10.2 9.9 8.3, all in g/cm³.